No. 1
DFT (PBE) results for crystalline NaReTc2 at its relaxed geometry.

Geometry as CIF:
```
data_NaReTc2
_space_group_name_H-M_alt 'F m -3 m'
_space_group_IT_number 225
_space_group_name_Hall '-F 4 2 3'
_cell_length_a 6.227
_cell_length_b 6.227
_cell_length_c 6.227
_cell_angle_alpha 90.00
_cell_angle_beta 90.00
_cell_angle_gamma 90.00
loop_
_atom_site_label
_atom_site_fract_x
_atom_site_fract_y
_atom_site_fract_z
Na1 0.000 0.000 0.000
Re1 0.000 0.000 0.500
Tc1 0.250 0.250 0.250
```

## Properties
energy above the most stable polymorph in this dataset	0.0000	eV/atom
uncorrected energy	-7.945	eV/atom
magnetization	0.00	μB per cell
energy of formation from the pure elements	0.6802	eV/atom
DOS(E_F)	4.59	states/eV/f.u.


No. 2
DFT (PBE) results for crystalline NaRe3Tc at its relaxed geometry.

Geometry as CIF:
```
data_NaRe3Tc
_space_group_name_H-M_alt 'P m -3 m'
_space_group_IT_number 221
_space_group_name_Hall '-P 4 2 3'
_cell_length_a 4.749
_cell_length_b 4.749
_cell_length_c 4.749
_cell_angle_alpha 90.00
_cell_angle_beta 90.00
_cell_angle_gamma 90.00
loop_
_atom_site_label
_atom_site_fract_x
_atom_site_fract_y
_atom_site_fract_z
Na1 0.000 0.000 0.000
Re1 0.000 0.500 0.500
Tc1 0.500 0.500 0.500
```

## Properties
energy above the most stable polymorph in this dataset	0.0000	eV/atom
uncorrected energy	-7.801	eV/atom
magnetization	2.35	μB per cell
energy of formation from the pure elements	2.0044	eV/atom
DOS(E_F)	4.12	states/eV/f.u.


No. 3
DFT (PBE) results for crystalline NaRe2Tc at its relaxed geometry.

Geometry as CIF:
```
data_NaRe2Tc
_space_group_name_H-M_alt 'F m -3 m'
_space_group_IT_number 225
_space_group_name_Hall '-F 4 2 3'
_cell_length_a 6.239
_cell_length_b 6.239
_cell_length_c 6.239
_cell_angle_alpha 90.00
_cell_angle_beta 90.00
_cell_angle_gamma 90.00
loop_
_atom_site_label
_atom_site_fract_x
_atom_site_fract_y
_atom_site_fract_z
Na1 0.000 0.000 0.000
Re1 0.250 0.250 0.250
Tc1 0.000 0.000 0.500
```

## Properties
energy above the most stable polymorph in this dataset	0.0000	eV/atom
uncorrected energy	-8.232	eV/atom
magnetization	0.00	μB per cell
energy of formation from the pure elements	0.9132	eV/atom
DOS(E_F)	3.59	states/eV/f.u.


No. 4
DFT (PBE) results for crystalline NaReTe3 at its relaxed geometry.

Geometry as CIF:
```
data_NaReTe3
_space_group_name_H-M_alt 'P m -3 m'
_space_group_IT_number 221
_space_group_name_Hall '-P 4 2 3'
_cell_length_a 5.383
_cell_length_b 5.383
_cell_length_c 5.383
_cell_angle_alpha 90.00
_cell_angle_beta 90.00
_cell_angle_gamma 90.00
loop_
_atom_site_label
_atom_site_fract_x
_atom_site_fract_y
_atom_site_fract_z
Na1 0.000 0.000 0.000
Re1 0.500 0.500 0.500
Te1 0.000 0.500 0.500
```

## Properties
formation energy from raw total energies	8.17	kcal/mol of atoms
uncorrected energy	-4.284	eV/atom
magnetization	1.60	μB per cell
DOS(E_F)	5.43	states/eV/f.u.